Entry 1:
DFT (PBE) results for a relaxed structure of LaMnMo2.

Cell: 3.2095 3.2095 7.5959 Å, 90.00 90.00 90.00°
Atoms (fractional coordinates):
La (0.0000, 0.0000, 0.4938)
Mo (0.0000, 0.0000, 0.0046)
Mo (0.5000, 0.5000, 0.1887)
Mn (0.5000, 0.5000, 0.8129)

Output
Offset from the most stable computed form, kJ/mol of formula units: 0
N(E_F), states/eV/cell: 3.645
ρ, g/cm³: 8.2
Formation enthalpy at 0 K, eV/atom: 0.313



Entry 2:
DFT (PBE) results for a relaxed structure of LaPaCuSi.

Cell: 5.0268 5.0268 5.0268 Å, 60.00 60.00 60.00°
Atoms (fractional coordinates):
La (0.2500, 0.2500, 0.2500)
Si (0.5000, 0.5000, 0.5000)
Pa (0.7500, 0.7500, 0.7500)
Cu (0.0000, 0.0000, 0.0000)

Output
ΔE_f (raw), meV/atom: -87
N(E_F), states/eV/cell: 6.090
ρ, g/cm³: 8.5